Entry 1:
VASP calculation (PBE-GGA) on a relaxed structure of BeZnCd.

Calculated values
- Energy above the most stable polymorph in this dataset: 83.4 meV/atom
- Formation energy: 28 kJ/mol of atoms

Geometry as CIF:
```
data_BeZnCd
_space_group_name_H-M_alt 'F -4 3 m'
_space_group_IT_number 216
_space_group_name_Hall 'F -4 2 3'
_cell_length_a 5.817
_cell_length_b 5.817
_cell_length_c 5.817
_cell_angle_alpha 90.00
_cell_angle_beta 90.00
_cell_angle_gamma 90.00
loop_
_atom_site_label
_atom_site_fract_x
_atom_site_fract_y
_atom_site_fract_z
Be1 0.000 0.000 0.000
Zn1 0.250 0.250 0.750
Cd1 0.250 0.250 0.250
```

Entry 2:
VASP calculation (PBE-GGA) on a relaxed structure of KBa3Pd8.

Calculated values
- Formation energy: -46 kJ/mol of atoms

Geometry as CIF:
```
data_KBa3Pd8
_space_group_name_H-M_alt 'R 3 m'
_space_group_IT_number 160
_space_group_name_Hall 'R 3 -2"'
_cell_length_a 5.7055
_cell_length_b 5.7055
_cell_length_c 27.9916
_cell_angle_alpha 90.00
_cell_angle_beta 90.00
_cell_angle_gamma 120.00
loop_
_atom_site_label
_atom_site_fract_x
_atom_site_fract_y
_atom_site_fract_z
K1 0.0000 0.0000 0.0000
Ba1 0.0000 0.0000 0.3695
Ba2 0.0000 0.0000 0.4971
Ba3 0.0000 0.0000 0.8780
Pd1 0.0000 0.0000 0.1860
Pd2 0.0000 0.0000 0.6860
Pd3 0.0014 0.5007 0.4365
Pd4 0.1676 0.3353 0.2688
```

Number 1: uncorrected energy -5.034 eV/f.u.. Number 2: uncorrected energy -54.073 eV/f.u..